(1)
SrSbTe2Mo: relaxed, PBE.

Cell lengths 5.5494, 5.5494, 5.1944 Å; angles 90.00, 90.00, 90.00 degrees
Atoms (fractional coordinates):
Sr  0.0000  0.0000  0.0000
Sb  0.5000  0.5000  0.0000
Te  0.0000  0.5000  0.5000
Te  0.5000  0.0000  0.5000
Mo  0.5000  0.5000  0.5000

Values from the calculation:
The value obtained for the excess energy over the best structure of this formula in the dataset is 0.00 eV/f.u. As for the total energy: -4.738 eV/atom. The symmetry is P4/mmm (123). For the density of states at the Fermi level, the calculation gives 0.971 states/eV per atom.



(2)
SrSb2TeMo: relaxed, PBE.

Cell lengths 5.1566, 5.1566, 6.0926 Å; angles 90.00, 90.00, 90.00 degrees
Atoms (fractional coordinates):
Sr  0.0000  0.0000  0.0000
Sb  0.0000  0.5000  0.5000
Sb  0.5000  0.0000  0.5000
Te  0.5000  0.5000  0.0000
Mo  0.5000  0.5000  0.5000

Values from the calculation:
The value obtained for the excess energy over the best structure of this formula in the dataset is 0.00 eV/f.u. As for the total energy: -4.868 eV/atom. The symmetry is P4/mmm (123). For the density of states at the Fermi level, the calculation gives 0.779 states/eV per atom.



(3)
SrSbTe2Mo: relaxed, PBE.

Cell lengths 5.9469, 5.9469, 5.8324 Å; angles 90.00, 90.00, 90.00 degrees
Atoms (fractional coordinates):
Sr  0.0000  0.0000  0.0000
Sb  0.0000  0.0000  0.5000
Te  0.0000  0.5000  0.0000
Te  0.5000  0.0000  0.0000
Mo  0.5000  0.5000  0.5000

Values from the calculation:
The value obtained for the excess energy over the best structure of this formula in the dataset is 8.59 eV/f.u. As for the total energy: -3.020 eV/atom. The symmetry is P4/mmm (123). For the density of states at the Fermi level, the calculation gives 2.043 states/eV per atom.